(1)
A plane-wave DFT calculation with PBE was carried out for Ga4Mo after structural relaxation.

Cell and atoms, written as POSCAR:
```
Ga4Mo
1.0
-2.9438 2.9438 2.9438
2.9438 -2.9438 2.9438
2.9438 2.9438 -2.9438
Ga Mo
4 1
Cartesian
1.4719 1.4719 -1.4719 Ga
1.4719 -1.4719 1.4719 Ga
-1.4719 1.4719 1.4719 Ga
1.4719 1.4719 1.4719 Ga
0.0000 0.0000 0.0000 Mo
```

Calculated values
Its energy of formation is -0.177 eV/atom. The space-group type is Im-3m, No. 229. As for the polymorph energy (0 for the lowest one): 0.000 eV/atom.

(2)
A plane-wave DFT calculation with PBE was carried out for Ca2InSi after structural relaxation.

Cell and atoms, written as POSCAR:
```
Ca2InSi
1.0
1.8397 1.0621 9.5757
-1.8397 1.0621 9.5757
0.0000 -2.1243 9.5757
Ca In Si
2 1 1
Cartesian
0.0000 0.0000 6.8783 Ca
0.0000 0.0000 21.8490 Ca
0.0000 0.0000 0.0000 In
0.0000 0.0000 14.3636 Si
```

Calculated values
The space-group type is R-3m, No. 166. The uncorrected formation energy comes out at -174 meV per atom.

(3)
A plane-wave DFT calculation with PBE was carried out for Pr12In6Ni after structural relaxation.

Cell and atoms, written as POSCAR:
```
Pr12In6Ni
1.0
6.2689 3.6194 4.5693
-6.2689 3.6194 4.5693
0.0000 -7.2387 4.5693
Pr In Ni
12 6 1
Cartesian
-4.1625 -4.0991 7.3421 Pr
-5.6312 1.5553 6.3658 Pr
-2.1754 -0.4509 5.3490 Pr
1.4687 -5.6544 6.3658 Pr
1.4782 -1.6585 5.3490 Pr
-0.6971 -2.1094 8.3588 Pr
0.6972 2.1094 5.3490 Pr
-1.4782 1.6584 8.3588 Pr
-1.4687 5.6544 7.3421 Pr
2.1754 0.4509 8.3588 Pr
5.6312 -1.5553 7.3421 Pr
4.1625 4.0991 6.3658 Pr
-1.2040 -3.6053 5.5414 In
-3.7243 -0.7600 8.1664 In
-2.5203 2.8453 5.5414 In
2.5203 -2.8453 8.1664 In
3.7243 0.7600 5.5414 In
1.2040 3.6053 8.1664 In
0.0000 0.0000 0.0000 Ni
```

Calculated values
Its energy of formation is -0.221 eV/atom. The space-group type is R-3, No. 148.

no.,E_tot (eV per atom),Fermi-level density of states (states/eV/f.u.)
1,-4.765,0.232
2,-3.215,4.094
3,-4.409,22.675